No. 1
The following is a DFT calculation (PBE) of an optimized crystal structure of Ba2ReOs.

Output
**Formation enthalpy at 0 K**: 152.2 kJ per mole of atoms
**Offset from the most stable computed form**: 1303.7 meV per atom
**Crystal system**: monoclinic

a = 3.414 Å, b = 5.190 Å, c = 5.707 Å
α = 90.00°, β = 91.42°, γ = 90.00°
Atoms (fractional coordinates):
Ba (0.116, 0.000, 0.252)
Ba (0.884, 0.000, 0.748)
Re (0.500, 0.500, 0.000)
Os (0.500, 0.500, 0.500)

---

No. 2
The following is a DFT calculation (PBE) of an optimized crystal structure of Ba2ReOs.

Output
**Formation enthalpy at 0 K**: 63.1 kJ per mole of atoms
**Offset from the most stable computed form**: 380.0 meV per atom
**Crystal system**: orthorhombic

a = 3.267 Å, b = 3.847 Å, c = 9.847 Å
α = 90.00°, β = 90.00°, γ = 90.00°
Atoms (fractional coordinates):
Ba (0.000, 0.000, 0.000)
Ba (0.500, 0.500, 0.416)
Re (0.000, 0.000, 0.685)
Os (0.500, 0.500, 0.734)

---

No. 3
The following is a DFT calculation (PBE) of an optimized crystal structure of Ba2ReOs.

Output
**Formation enthalpy at 0 K**: 166.3 kJ per mole of atoms
**Offset from the most stable computed form**: 1450.0 meV per atom
**Crystal system**: trigonal

a = 3.066 Å, b = 3.066 Å, c = 34.890 Å
α = 90.00°, β = 90.00°, γ = 120.00°
Atoms (fractional coordinates):
Ba (0.000, 0.000, 0.248)
Ba (0.000, 0.000, 0.752)
Ba (0.333, 0.667, 0.418)
Ba (0.333, 0.667, 0.915)
Ba (0.667, 0.333, 0.085)
Ba (0.667, 0.333, 0.582)
Re (0.000, 0.000, 0.000)
Re (0.333, 0.667, 0.667)
Re (0.667, 0.333, 0.333)
Os (0.000, 0.000, 0.500)
Os (0.333, 0.667, 0.167)
Os (0.667, 0.333, 0.833)

---

No. 4
The following is a DFT calculation (PBE) of an optimized crystal structure of Ba2ReOs.

Output
**Formation enthalpy at 0 K**: 60.3 kJ per mole of atoms
**Offset from the most stable computed form**: 351.9 meV per atom
**Crystal system**: orthorhombic

a = 3.966 Å, b = 5.332 Å, c = 12.160 Å
α = 90.00°, β = 90.00°, γ = 90.00°
Atoms (fractional coordinates):
Ba (0.000, 0.000, 0.000)
Ba (0.000, 0.500, 0.225)
Ba (0.500, 0.000, 0.725)
Ba (0.500, 0.500, 0.500)
Re (0.000, 0.000, 0.416)
Re (0.500, 0.500, 0.916)
Os (0.000, 0.500, 0.811)
Os (0.500, 0.000, 0.311)

---

No. 5
The following is a DFT calculation (PBE) of an optimized crystal structure of Ba2ReOs.

Output
**Formation enthalpy at 0 K**: 166.0 kJ per mole of atoms
**Offset from the most stable computed form**: 1447.4 meV per atom
**Crystal system**: cubic

a = 7.694 Å, b = 7.694 Å, c = 7.694 Å
α = 90.00°, β = 90.00°, γ = 90.00°
Atoms (fractional coordinates):
Ba (0.250, 0.250, 0.250)
Ba (0.250, 0.250, 0.750)
Ba (0.250, 0.750, 0.250)
Ba (0.250, 0.750, 0.750)
Ba (0.750, 0.250, 0.250)
Ba (0.750, 0.250, 0.750)
Ba (0.750, 0.750, 0.250)
Ba (0.750, 0.750, 0.750)
Re (0.000, 0.000, 0.000)
Re (0.000, 0.500, 0.500)
Re (0.500, 0.000, 0.500)
Re (0.500, 0.500, 0.000)
Os (0.000, 0.000, 0.500)
Os (0.000, 0.500, 0.000)
Os (0.500, 0.000, 0.000)
Os (0.500, 0.500, 0.500)

---

No. 6
The following is a DFT calculation (PBE) of an optimized crystal structure of BaReOs2.

Output
**Formation enthalpy at 0 K**: 116.8 kJ per mole of atoms
**Offset from the most stable computed form**: 467.9 meV per atom
**Crystal system**: tetragonal

a = 7.575 Å, b = 7.575 Å, c = 6.661 Å
α = 90.00°, β = 90.00°, γ = 90.00°
Atoms (fractional coordinates):
Ba (0.000, 0.000, 0.000)
Ba (0.000, 0.500, 0.250)
Ba (0.500, 0.000, 0.750)
Ba (0.500, 0.500, 0.500)
Re (0.000, 0.000, 0.500)
Re (0.000, 0.500, 0.750)
Re (0.500, 0.000, 0.250)
Re (0.500, 0.500, 0.000)
Os (0.166, 0.750, 0.625)
Os (0.250, 0.166, 0.375)
Os (0.250, 0.334, 0.875)
Os (0.334, 0.750, 0.125)
Os (0.666, 0.250, 0.125)
Os (0.750, 0.666, 0.875)
Os (0.750, 0.834, 0.375)
Os (0.834, 0.250, 0.625)